Here is a PBEsol-optimized structure of Mn3GeC from the Alexandria database. Energies are from meta-GGA SCAN.

## Properties
V: 10.6 Å³/atom
DOS(E_F): 3.1 states/eV per cell
Calculated formation energy: -236 meV per atom

Cell: 5.1899 5.3923 5.1899 Å, 61.23 90.00 118.77°
Each line ends with the local moment (μB).
Positions (direct):
Mn (0.2500, 0.5000, 0.7500)  -2.84
Mn (0.7500, 0.5000, 0.2500)  -2.84
Mn (0.1811, 0.0000, 0.6811)  1.93
Mn (0.6811, 0.0000, 0.8189)  1.93
Mn (0.3189, 0.0000, 0.1811)  1.93
Mn (0.8189, 0.0000, 0.3189)  1.93
Ge (0.7500, 0.5000, 0.7500)  -0.01
Ge (0.2500, 0.5000, 0.2500)  -0.01
C (0.0000, 0.0000, 0.0000)  -0.06
C (0.5000, 0.0000, 0.5000)  -0.06